VASP calculation (PBE) on a geometry-optimized Pa3Si2Tc structure.

Calculated volume   273.14 Å³/cell
SG   R-3c, No. 167
Raw formation energy   -266.0 meV/atom

Lattice parameters (Å, degrees): 7.031 7.031 7.031 65.10 65.10 65.10
Positions (direct):
Pa  0.101  0.750  0.399
Pa  0.250  0.601  0.899
Pa  0.399  0.101  0.750
Pa  0.601  0.899  0.250
Pa  0.750  0.399  0.101
Pa  0.899  0.250  0.601
Si  0.171  0.171  0.171
Si  0.329  0.329  0.329
Si  0.671  0.671  0.671
Si  0.829  0.829  0.829
Tc  0.000  0.000  0.000
Tc  0.500  0.500  0.500


VASP calculation (PBE) on a geometry-optimized PmTmGa structure.

Relative energy among the computed polymorphs   0.173 eV/atom
Calculated volume   87.88 Å³/cell
SG   F-43m, No. 216
Calculated formation energy   -22.74 kJ/mol of atoms

Lattice parameters (Å, degrees): 4.990 4.990 4.990 60.00 60.00 60.00
Positions (direct):
Pm  0.000  0.000  0.000
Tm  0.500  0.500  0.500
Ga  0.750  0.750  0.750


VASP calculation (PBE) on a geometry-optimized NaAg2IBr8 structure.

Calculated volume   476.35 Å³/cell
SG   P2/m, No. 10
Raw formation energy   -363.7 meV/atom

Lattice parameters (Å, degrees): 6.841 7.860 9.260 90.00 106.92 90.00
Positions (direct):
Na  0.000  0.000  0.000
Ag  0.000  0.252  0.500
Ag  0.000  0.748  0.500
I  0.000  0.500  0.000
Br  0.198  0.262  0.884
Br  0.198  0.738  0.884
Br  0.254  0.000  0.494
Br  0.256  0.500  0.492
Br  0.744  0.500  0.508
Br  0.746  0.000  0.506
Br  0.802  0.262  0.116
Br  0.802  0.738  0.116


VASP calculation (PBE) on a geometry-optimized NbGa2AgMo structure.

Calculated volume   112.61 Å³/cell
SG   P4/mmm, No. 123
Calculated formation energy   113.45 kJ/mol of atoms

Lattice parameters (Å, degrees): 4.741 4.741 5.010 90.00 90.00 90.00
Positions (direct):
Nb  0.000  0.000  0.000
Ga  0.000  0.500  0.500
Ga  0.500  0.000  0.500
Ag  0.500  0.500  0.000
Mo  0.500  0.500  0.500


VASP calculation (PBE) on a geometry-optimized TmScNiPt structure.

Relative energy among the computed polymorphs   0.000 eV/atom
Calculated volume   77.17 Å³/cell
SG   Amm2, No. 38
Calculated formation energy   -84.41 kJ/mol of atoms

Lattice parameters (Å, degrees): 4.263 5.279 5.279 40.51 90.00 90.00
Positions (direct):
Tm  0.000  0.000  0.000
Sc  0.500  0.717  0.717
Ni  0.000  0.274  0.274
Pt  0.500  0.433  0.433